CoSbMo | PBE-GGA | relaxed

Geometry as extended XYZ:
```
3
Lattice="-1.470 1.685 4.793 1.470 -1.685 4.793 1.470 1.685 -4.793" Properties=species:S:1:pos:R:3 pbc="T T T"
Co 0.000 0.000 0.000
Sb 0.000 0.000 3.235
Mo 0.000 0.000 6.170
```

Results
* uncorrected energy: -7.023 eV/atom
* crystal system: orthorhombic
* space-group type: Imm2, No. 44
* ΔE_f (raw): 0.33 eV/atom

CoSbMo | PBE-GGA | relaxed

Geometry as extended XYZ:
```
3
Lattice="4.329 0.000 0.000 -2.164 3.749 0.000 0.000 0.000 2.934" Properties=species:S:1:pos:R:3 pbc="T T T"
Co 0.000 0.000 0.000
Sb 0.000 2.499 0.000
Mo 2.164 1.250 1.467
```

Results
* uncorrected energy: -7.054 eV/atom
* crystal system: hexagonal
* space-group type: P-6m2, No. 187
* ΔE_f (raw): 0.30 eV/atom

Co2SbMo | PBE-GGA | relaxed

Geometry as extended XYZ:
```
8
Lattice="-2.000 2.000 8.107 2.000 -2.000 8.107 2.000 2.000 -8.107" Properties=species:S:1:pos:R:3 pbc="T T T"
Co 3.000 0.876 -2.027
Co 0.876 1.000 2.027
Co -1.000 1.125 6.080
Co 1.125 1.000 10.133
Sb 2.000 0.000 4.053
Sb 0.000 0.000 8.107
Mo 0.000 0.000 0.000
Mo 0.000 2.000 4.053
```

Results
* uncorrected energy: -6.691 eV/atom
* crystal system: tetragonal
* space-group type: I-42d, No. 122
* ΔE_f (raw): 0.60 eV/atom

Co2SbMo | PBE-GGA | relaxed

Geometry as extended XYZ:
```
4
Lattice="-1.889 1.889 3.988 1.889 -1.889 3.988 1.889 1.889 -3.988" Properties=species:S:1:pos:R:3 pbc="T T T"
Co 0.000 0.000 0.000
Co 0.000 1.889 1.994
Sb 1.889 0.000 1.994
Mo 0.000 0.000 3.988
```

Results
* uncorrected energy: -7.093 eV/atom
* crystal system: tetragonal
* space-group type: I-4m2, No. 119
* ΔE_f (raw): 0.20 eV/atom

Co2SbMo | PBE-GGA | relaxed

Geometry as extended XYZ:
```
4
Lattice="2.913 0.000 0.000 0.000 2.913 0.000 0.000 0.000 6.867" Properties=species:S:1:pos:R:3 pbc="T T T"
Co 0.000 0.000 1.647
Co 0.000 0.000 5.220
Sb 1.457 1.457 3.433
Mo 1.457 1.457 0.000
```

Results
* uncorrected energy: -6.999 eV/atom
* crystal system: tetragonal
* space-group type: P4/mmm, No. 123
* ΔE_f (raw): 0.29 eV/atom

Co2SbMo | PBE-GGA | relaxed

Geometry as extended XYZ:
```
4
Lattice="1.487 0.858 8.033 -1.487 0.858 8.033 0.000 -1.717 8.033" Properties=species:S:1:pos:R:3 pbc="T T T"
Co 0.000 0.000 0.000
Co 0.000 0.000 6.230
Sb 0.000 0.000 18.063
Mo 0.000 0.000 12.367
```

Results
* uncorrected energy: -6.764 eV/atom
* crystal system: trigonal
* space-group type: R3m, No. 160
* ΔE_f (raw): 0.53 eV/atom

Co2SbMo | PBE-GGA | relaxed

Geometry as extended XYZ:
```
4
Lattice="1.471 0.849 8.075 -1.471 0.849 8.075 0.000 -1.699 8.075" Properties=species:S:1:pos:R:3 pbc="T T T"
Co 0.000 0.000 5.983
Co 0.000 0.000 18.244
Sb 0.000 0.000 0.000
Mo 0.000 0.000 12.113
```

Results
* uncorrected energy: -6.836 eV/atom
* crystal system: trigonal
* space-group type: R-3m, No. 166
* ΔE_f (raw): 0.46 eV/atom

Co2SbMo2 | PBE-GGA | relaxed

Geometry as extended XYZ:
```
10
Lattice="6.413 0.000 0.000 0.000 6.413 0.000 0.000 0.000 3.578" Properties=species:S:1:pos:R:3 pbc="T T T"
Co 0.816 2.390 0.000
Co 2.390 5.596 0.000
Co 4.023 0.816 0.000
Co 5.596 4.023 0.000
Sb 0.000 0.000 0.000
Sb 3.206 3.206 0.000
Mo 1.051 4.257 1.789
Mo 2.155 1.051 1.789
Mo 4.257 5.362 1.789
Mo 5.362 2.155 1.789
```

Results
* energy above the lowest structure with this stoichiometry: 0.000 eV per atom
* uncorrected energy: -7.748 eV/atom
* crystal system: tetragonal
* space-group type: P4/mbm, No. 127
* ΔE_f (raw): 0.25 eV/atom

CoSbMo3 | PBE-GGA | relaxed

Geometry as extended XYZ:
```
5
Lattice="4.503 0.000 0.000 0.000 4.503 0.000 0.000 0.000 4.503" Properties=species:S:1:pos:R:3 pbc="T T T"
Co 0.000 0.000 0.000
Sb 2.251 2.251 2.251
Mo 0.000 0.000 2.251
Mo 0.000 2.251 0.000
Mo 2.251 0.000 0.000
```

Results
* energy above the lowest structure with this stoichiometry: 0.000 eV per atom
* uncorrected energy: -7.728 eV/atom
* crystal system: cubic
* space-group type: Pm-3m, No. 221
* ΔE_f (raw): 1.02 eV/atom

Co2SbMo | PBE-GGA | relaxed

Geometry as extended XYZ:
```
4
Lattice="3.171 0.000 0.000 0.000 3.367 0.000 0.000 0.000 5.448" Properties=species:S:1:pos:R:3 pbc="T T T"
Co 0.000 0.000 1.227
Co 0.000 0.000 4.221
Sb 1.585 1.683 2.724
Mo 1.585 1.683 0.000
```

Results
* uncorrected energy: -7.105 eV/atom
* crystal system: orthorhombic
* space-group type: Pmmm, No. 47
* ΔE_f (raw): 0.19 eV/atom

Co2SbMo | PBE-GGA | relaxed

Geometry as extended XYZ:
```
4
Lattice="-2.000 2.000 3.556 2.000 -2.000 3.556 2.000 2.000 -3.556" Properties=species:S:1:pos:R:3 pbc="T T T"
Co 2.000 0.000 1.778
Co 0.000 2.000 1.778
Sb 0.000 0.000 0.000
Mo 0.000 0.000 3.556
```

Results
* uncorrected energy: -7.093 eV/atom
* crystal system: tetragonal
* space-group type: I4/mmm, No. 139
* ΔE_f (raw): 0.20 eV/atom

Co2SbMo | PBE-GGA | relaxed

Geometry as extended XYZ:
```
4
Lattice="4.158 -1.602 0.000 4.158 1.602 0.000 -1.170 0.000 4.451" Properties=species:S:1:pos:R:3 pbc="T T T"
Co 1.753 0.000 0.929
Co 5.394 0.000 3.522
Sb -0.585 0.000 2.226
Mo 4.158 0.000 0.000
```

Results
* uncorrected energy: -6.998 eV/atom
* crystal system: monoclinic
* space-group type: C2/m, No. 12
* ΔE_f (raw): 0.29 eV/atom

Co2SbMo | PBE-GGA | relaxed

Geometry as extended XYZ:
```
4
Lattice="4.255 -1.547 0.000 4.255 1.547 0.000 -0.914 0.000 4.446" Properties=species:S:1:pos:R:3 pbc="T T T"
Co 0.000 0.000 0.000
Co 6.102 0.000 1.103
Sb 3.770 0.000 2.116
Mo 1.484 0.000 3.715
```

Results
* uncorrected energy: -7.072 eV/atom
* crystal system: monoclinic
* space-group type: Cm, No. 8
* ΔE_f (raw): 0.22 eV/atom

Co2SbMo | PBE-GGA | relaxed

Geometry as extended XYZ:
```
4
Lattice="3.146 0.000 0.000 0.000 3.146 0.000 0.000 0.000 5.865" Properties=species:S:1:pos:R:3 pbc="T T T"
Co 0.000 0.000 0.000
Co 1.573 1.573 1.325
Sb 1.573 1.573 4.503
Mo 0.000 0.000 2.596
```

Results
* uncorrected energy: -7.003 eV/atom
* crystal system: tetragonal
* space-group type: P4mm, No. 99
* ΔE_f (raw): 0.29 eV/atom

CoSbMo | PBE-GGA | relaxed

Geometry as extended XYZ:
```
3
Lattice="3.006 0.000 0.000 -1.503 2.603 0.000 0.000 0.000 6.326" Properties=species:S:1:pos:R:3 pbc="T T T"
Co 0.000 0.000 0.000
Sb 0.000 1.736 4.226
Mo 1.503 0.868 1.862
```

Results
* uncorrected energy: -6.910 eV/atom
* crystal system: trigonal
* space-group type: P3m1, No. 156
* ΔE_f (raw): 0.44 eV/atom

CoSbTe2Mo | PBE-GGA | relaxed

Geometry as extended XYZ:
```
5
Lattice="5.223 0.000 0.000 0.000 5.223 0.000 0.000 0.000 5.253" Properties=species:S:1:pos:R:3 pbc="T T T"
Co 0.000 0.000 0.000
Sb 2.612 2.612 0.000
Te 0.000 2.612 2.627
Te 2.612 0.000 2.627
Mo 2.612 2.612 2.627
```

Results
* energy above the lowest structure with this stoichiometry: 0.305 eV per atom
* uncorrected energy: -4.500 eV/atom
* crystal system: tetragonal
* space-group type: P4/mmm, No. 123
* ΔE_f (raw): 1.17 eV/atom

CoSb2TeMo | PBE-GGA | relaxed

Geometry as extended XYZ:
```
5
Lattice="4.810 0.000 0.000 0.000 4.810 0.000 0.000 0.000 5.213" Properties=species:S:1:pos:R:3 pbc="T T T"
Co 0.000 0.000 0.000
Sb 0.000 2.405 0.000
Sb 2.405 0.000 0.000
Te 0.000 0.000 2.607
Mo 2.405 2.405 2.607
```

Results
* energy above the lowest structure with this stoichiometry: 0.000 eV per atom
* uncorrected energy: -5.007 eV/atom
* crystal system: tetragonal
* space-group type: P4/mmm, No. 123
* ΔE_f (raw): 0.86 eV/atom

CoSbTe2Mo | PBE-GGA | relaxed

Geometry as extended XYZ:
```
5
Lattice="5.122 0.000 0.000 0.000 5.122 0.000 0.000 0.000 4.688" Properties=species:S:1:pos:R:3 pbc="T T T"
Co 0.000 0.000 0.000
Sb 0.000 0.000 2.344
Te 0.000 2.561 0.000
Te 2.561 0.000 0.000
Mo 2.561 2.561 2.344
```

Results
* energy above the lowest structure with this stoichiometry: 0.000 eV per atom
* uncorrected energy: -4.805 eV/atom
* crystal system: tetragonal
* space-group type: P4/mmm, No. 123
* ΔE_f (raw): 0.86 eV/atom

CoSb2TeMo | PBE-GGA | relaxed

Geometry as extended XYZ:
```
5
Lattice="5.252 0.000 0.000 0.000 5.252 0.000 0.000 0.000 5.200" Properties=species:S:1:pos:R:3 pbc="T T T"
Co 0.000 0.000 0.000
Sb 0.000 2.626 2.600
Sb 2.626 0.000 2.600
Te 2.626 2.626 0.000
Mo 2.626 2.626 2.600
```

Results
* energy above the lowest structure with this stoichiometry: 0.196 eV per atom
* uncorrected energy: -4.810 eV/atom
* crystal system: tetragonal
* space-group type: P4/mmm, No. 123
* ΔE_f (raw): 1.05 eV/atom

Co2SbMoW | PBE-GGA | relaxed

Geometry as extended XYZ:
```
5
Lattice="4.435 0.000 0.000 0.000 4.435 0.000 0.000 0.000 4.980" Properties=species:S:1:pos:R:3 pbc="T T T"
Co 0.000 2.218 0.000
Co 2.218 0.000 0.000
Sb 0.000 0.000 0.000
Mo 2.218 2.218 2.490
W 0.000 0.000 2.490
```

Results
* uncorrected energy: -6.505 eV/atom
* crystal system: tetragonal
* space-group type: P4/mmm, No. 123
* ΔE_f (raw): 1.92 eV/atom

ZnCoSbMo2 | PBE-GGA | relaxed

Geometry as extended XYZ:
```
5
Lattice="4.951 0.000 0.000 0.000 4.951 0.000 0.000 0.000 4.520" Properties=species:S:1:pos:R:3 pbc="T T T"
Zn 0.000 0.000 0.000
Co 2.475 2.475 0.000
Sb 2.475 2.475 2.260
Mo 0.000 2.475 2.260
Mo 2.475 0.000 2.260
```

Results
* uncorrected energy: -5.097 eV/atom
* crystal system: tetragonal
* space-group type: P4/mmm, No. 123
* ΔE_f (raw): 1.74 eV/atom

ZrCoSb2Mo | PBE-GGA | relaxed

Geometry as extended XYZ:
```
5
Lattice="4.807 0.000 0.000 0.000 4.807 0.000 0.000 0.000 4.695" Properties=species:S:1:pos:R:3 pbc="T T T"
Zr 0.000 0.000 0.000
Co 0.000 0.000 2.348
Sb 0.000 2.404 2.348
Sb 2.404 0.000 2.348
Mo 2.404 2.404 0.000
```

Results
* uncorrected energy: -6.285 eV/atom
* crystal system: tetragonal
* space-group type: P4/mmm, No. 123
* ΔE_f (raw): 0.66 eV/atom

ScCo4Mo | PBE-GGA | relaxed

Geometry as extended XYZ:
```
6
Lattice="0.000 3.360 3.360 3.360 0.000 3.360 3.360 3.360 0.000" Properties=species:S:1:pos:R:3 pbc="T T T"
Sc 0.000 0.000 0.000
Co 4.206 2.514 2.514
Co 2.514 4.206 2.514
Co 2.514 2.514 4.206
Co 4.206 4.206 4.206
Mo 1.680 1.680 1.680
```

Results
* uncorrected energy: -7.675 eV/atom
* crystal system: cubic
* space-group type: F-43m, No. 216
* ΔE_f: -78 meV per atom

ScCo2Mo2 | PBE-GGA | relaxed

Geometry as extended XYZ:
```
10
Lattice="7.488 0.000 0.000 0.000 7.488 0.000 0.000 0.000 2.640" Properties=species:S:1:pos:R:3 pbc="T T T"
Sc 0.000 0.000 0.000
Sc 3.744 3.744 0.000
Co 1.284 2.460 1.320
Co 2.460 6.205 1.320
Co 5.028 1.284 1.320
Co 6.205 5.028 1.320
Mo 0.927 4.671 0.000
Mo 2.817 0.927 0.000
Mo 4.671 6.561 0.000
Mo 6.561 2.817 0.000
```

Results
* energy above the lowest structure with this stoichiometry: 0.009 eV per atom
* uncorrected energy: -8.339 eV/atom
* crystal system: tetragonal
* space-group type: P4/mbm, No. 127
* ΔE_f: 103 meV per atom

ScCo2Mo2 | PBE-GGA | relaxed

Geometry as extended XYZ:
```
10
Lattice="7.202 0.000 0.000 0.000 7.202 0.000 0.000 0.000 2.824" Properties=species:S:1:pos:R:3 pbc="T T T"
Sc 0.000 0.000 0.000
Sc 3.601 3.601 0.000
Co 0.875 2.726 0.000
Co 2.726 6.327 0.000
Co 4.476 0.875 0.000
Co 6.327 4.476 0.000
Mo 1.244 4.845 1.412
Mo 2.357 1.244 1.412
Mo 4.845 5.958 1.412
Mo 5.958 2.357 1.412
```

Results
* energy above the lowest structure with this stoichiometry: 0.000 eV per atom
* uncorrected energy: -8.347 eV/atom
* crystal system: tetragonal
* space-group type: P4/mbm, No. 127
* ΔE_f: 94 meV per atom

Sc2Co5Si2Mo | PBE-GGA | relaxed

Geometry as extended XYZ:
```
20
Lattice="8.906 0.000 0.000 0.000 8.906 0.000 0.000 0.000 3.359" Properties=species:S:1:pos:R:3 pbc="T T T"
Sc 1.557 2.896 0.000
Sc 2.896 7.348 0.000
Sc 6.010 1.557 0.000
Sc 7.348 6.010 0.000
Co 0.000 4.453 1.679
Co 0.576 7.064 1.679
Co 1.842 0.576 1.679
Co 2.611 5.029 1.679
Co 3.877 2.611 1.679
Co 4.453 0.000 1.679
Co 5.029 6.294 1.679
Co 6.294 3.877 1.679
Co 7.064 8.330 1.679
Co 8.330 1.842 1.679
Si 1.085 5.537 0.000
Si 3.368 1.085 0.000
Si 5.537 7.821 0.000
Si 7.821 3.368 0.000
Mo 0.000 0.000 0.000
Mo 4.453 4.453 0.000
```

Results
* uncorrected energy: -7.402 eV/atom
* crystal system: tetragonal
* space-group type: P4/mbm, No. 127
* ΔE_f (raw): -0.42 eV/atom

ScTaCoMo | PBE-GGA | relaxed

Geometry as extended XYZ:
```
4
Lattice="0.000 3.171 3.171 3.171 0.000 3.171 3.171 3.171 0.000" Properties=species:S:1:pos:R:3 pbc="T T T"
Sc 0.000 0.000 0.000
Ta 3.171 3.171 3.171
Co 1.585 1.585 1.585
Mo 4.756 4.756 4.756
```

Results
* uncorrected energy: -9.116 eV/atom
* crystal system: cubic
* space-group type: F-43m, No. 216
* ΔE_f: -86 meV per atom

ScTiCoMo | PBE-GGA | relaxed

Geometry as extended XYZ:
```
4
Lattice="0.000 3.143 3.143 3.143 0.000 3.143 3.143 3.143 0.000" Properties=species:S:1:pos:R:3 pbc="T T T"
Sc 0.000 0.000 0.000
Ti 3.143 3.143 3.143
Co 4.715 4.715 4.715
Mo 1.572 1.572 1.572
```

Results
* uncorrected energy: -8.077 eV/atom
* crystal system: cubic
* space-group type: F-43m, No. 216
* ΔE_f: -36 meV per atom